Material: Tl3V2F7
Method: DFT, PBE with a Hubbard U
State: optimized geometry

Computed properties:
E: -61.97 eV/cell

abc: 11.736 11.736 11.736
angles: 159.09 159.09 29.74
Element x y z (fractional)
Tl 0.000 0.000 0.000
Tl 0.187 0.187 0.000
Tl 0.813 0.813 0.000
V 0.405 0.405 0.000
V 0.595 0.595 0.000
F 0.095 0.595 0.500
F 0.312 0.312 0.000
F 0.405 0.905 0.500
F 0.500 0.500 0.000
F 0.595 0.095 0.500
F 0.688 0.688 0.000
F 0.905 0.405 0.500